i | A PBEsol-optimized structure of Ag2TeBr. Source: Alexandria via LeMat-Bulk, functional SCAN.

Geometry as CIF:
```
data_Ag2TeBr
_symmetry_space_group_name_H-M 'P m m m'
_symmetry_Int_Tables_number 47
_cell_length_a 3.3886
_cell_length_b 4.4441
_cell_length_c 6.3374
_cell_angle_alpha 90.00
_cell_angle_beta 90.00
_cell_angle_gamma 90.00
loop_
_symmetry_equiv_pos_as_xyz
'x,y,z'
'-x,-y,-z'
'-x,-y,z'
'x,y,-z'
'x,-y,-z'
'-x,y,z'
'-x,y,-z'
'x,-y,z'
loop_
_atom_site_label
_atom_site_fract_x
_atom_site_fract_y
_atom_site_fract_z
Ag1 0.0000 0.0000 0.0000
Ag2 0.0000 0.5000 0.5000
Te1 0.5000 0.0000 0.5000
Br1 0.5000 0.5000 0.0000
```


ii | A PBEsol-optimized structure of Ag2TeBr. Source: Alexandria via LeMat-Bulk, functional SCAN.

Geometry as CIF:
```
data_Ag2TeBr
_symmetry_space_group_name_H-M 'R -3 m'
_symmetry_Int_Tables_number 166
_symmetry_space_group_name_Hall '-R 3 2"'
_cell_length_a 3.9061
_cell_length_b 3.9061
_cell_length_c 21.1334
_cell_angle_alpha 90.00
_cell_angle_beta 90.00
_cell_angle_gamma 120.00
loop_
_atom_site_label
_atom_site_fract_x
_atom_site_fract_y
_atom_site_fract_z
Ag1 0.0000 0.0000 0.2478
Te1 0.0000 0.0000 0.5000
Br1 0.0000 0.0000 0.0000
```


iii | A PBEsol-optimized structure of Ag2TeBr. Source: Alexandria via LeMat-Bulk, functional SCAN.

Geometry as CIF:
```
data_Ag2TeBr
_symmetry_space_group_name_H-M 'P m m 2'
_symmetry_Int_Tables_number 25
_cell_length_a 3.4604
_cell_length_b 4.3721
_cell_length_c 6.5845
_cell_angle_alpha 90.00
_cell_angle_beta 90.00
_cell_angle_gamma 90.00
loop_
_symmetry_equiv_pos_as_xyz
'x,y,z'
'-x,-y,z'
'-x,y,z'
'x,-y,z'
loop_
_atom_site_label
_atom_site_fract_x
_atom_site_fract_y
_atom_site_fract_z
Ag1 0.0000 0.0000 0.0000
Ag2 0.5000 0.5000 0.1050
Te1 0.0000 0.5000 0.7534
Br1 0.5000 0.0000 0.3525
```


iv | A PBEsol-optimized structure of Ag2TeBr. Source: Alexandria via LeMat-Bulk, functional SCAN.

Geometry as CIF:
```
data_Ag2TeBr
_symmetry_space_group_name_H-M 'I -4 2 d'
_symmetry_Int_Tables_number 122
_symmetry_space_group_name_Hall 'I -4 2bw'
_cell_length_a 6.2413
_cell_length_b 6.2413
_cell_length_c 12.1064
_cell_angle_alpha 90.00
_cell_angle_beta 90.00
_cell_angle_gamma 90.00
loop_
_atom_site_label
_atom_site_fract_x
_atom_site_fract_y
_atom_site_fract_z
Ag1 0.2461 0.2500 0.1250
Te1 0.0000 0.0000 0.0000
Br1 0.0000 0.0000 0.5000
```


ii wins, 2.5 kJ/mol of atoms ahead of the next structure.


i | A PBEsol-optimized structure of Ag2TeBr. Source: Alexandria via LeMat-Bulk, functional SCAN.

Geometry as CIF:
```
data_Ag2TeBr
_symmetry_space_group_name_H-M 'F m -3 m'
_symmetry_Int_Tables_number 225
_symmetry_space_group_name_Hall '-F 4 2 3'
_cell_length_a 7.0703
_cell_length_b 7.0703
_cell_length_c 7.0703
_cell_angle_alpha 90.00
_cell_angle_beta 90.00
_cell_angle_gamma 90.00
loop_
_atom_site_label
_atom_site_fract_x
_atom_site_fract_y
_atom_site_fract_z
Ag1 0.2500 0.2500 0.2500
Te1 0.0000 0.0000 0.0000
Br1 0.0000 0.0000 0.5000
```


ii | A PBEsol-optimized structure of Ag2TeBr. Source: Alexandria via LeMat-Bulk, functional SCAN.

Geometry as CIF:
```
data_Ag2TeBr
_symmetry_space_group_name_H-M 'P 4 m m'
_symmetry_Int_Tables_number 99
_cell_length_a 3.6516
_cell_length_b 3.6516
_cell_length_c 7.1257
_cell_angle_alpha 90.00
_cell_angle_beta 90.00
_cell_angle_gamma 90.00
loop_
_symmetry_equiv_pos_as_xyz
'x,y,z'
'-y,x,z'
'-x,-y,z'
'y,-x,z'
'-x,y,z'
'y,x,z'
'x,-y,z'
'-y,-x,z'
loop_
_atom_site_label
_atom_site_fract_x
_atom_site_fract_y
_atom_site_fract_z
Ag1 0.0000 0.0000 0.0000
Ag2 0.5000 0.5000 0.2048
Te1 0.5000 0.5000 0.8162
Br1 0.0000 0.0000 0.3925
```


ii wins, 33.3 kJ/mol of atoms ahead of the next structure.


i | A PBEsol-optimized structure of TlAg2Br. Source: Alexandria via LeMat-Bulk, functional SCAN.

Geometry as CIF:
```
data_TlAg2Br
_symmetry_space_group_name_H-M 'F -4 3 m'
_symmetry_Int_Tables_number 216
_symmetry_space_group_name_Hall 'F -4 2 3'
_cell_length_a 7.1866
_cell_length_b 7.1866
_cell_length_c 7.1866
_cell_angle_alpha 90.00
_cell_angle_beta 90.00
_cell_angle_gamma 90.00
loop_
_atom_site_label
_atom_site_fract_x
_atom_site_fract_y
_atom_site_fract_z
Tl1 0.0000 0.0000 0.0000
Ag1 0.0000 0.0000 0.5000
Ag2 0.2500 0.2500 0.7500
Br1 0.2500 0.2500 0.2500
```


ii | A PBEsol-optimized structure of TlAg2Br. Source: Alexandria via LeMat-Bulk, functional SCAN.

Geometry as CIF:
```
data_TlAg2Br
_symmetry_space_group_name_H-M 'I -4 m 2'
_symmetry_Int_Tables_number 119
_symmetry_space_group_name_Hall 'I -4 -2'
_cell_length_a 3.9971
_cell_length_b 3.9971
_cell_length_c 11.2284
_cell_angle_alpha 90.00
_cell_angle_beta 90.00
_cell_angle_gamma 90.00
loop_
_atom_site_label
_atom_site_fract_x
_atom_site_fract_y
_atom_site_fract_z
Tl1 0.0000 0.0000 0.0000
Ag1 0.0000 0.0000 0.5000
Ag2 0.0000 0.5000 0.2500
Br1 0.0000 0.5000 0.7500
```


ii wins, 13.0 kJ/mol of atoms ahead of the next structure.